[1]
Density functional theory data (GGA-PBEsol) for an optimized crystal structure of RuC.

Results
- DFT formation energy (eV per atom) = 1.048
- magnetic moment (μB/f.u.) = 0.0

Cell lengths 3.4695, 2.6446, 4.0625 Å; angles 90.00, 90.00, 90.00 degrees
Closest atoms and distances in Å follow each position.
Space group Pmma (No. 51)
Symmetry-distinct sites (fractional):
Ru  0.2500  0.0000  0.2435 x2  6 C 2.19-2.26
C  0.2500  0.5000  0.7918 x2  6 Ru 2.19-2.26, 2 C 2.42



[2]
Density functional theory data (GGA-PBEsol) for an optimized crystal structure of MnTe2IF.

Results
- magnetic moment (μB/f.u.) = 2.7
- formation energy (no corrections) (meV per atom) = 69

Cell lengths 4.9738, 4.9738, 5.2040 Å; angles 90.00, 90.00, 90.00 degrees
Closest atoms and distances in Å follow each position.
Space group P4/mmm (No. 123)
Symmetry-distinct sites (fractional):
Mn  0.0000  0.0000  0.0000 x1  4 Te 2.49, 2 I 2.60
Te  0.0000  0.5000  0.0000 x2  2 Mn 2.49
I  0.0000  0.0000  0.5000 x1  2 Mn 2.60
F  0.5000  0.5000  0.5000 x1  4 I 3.52, 8 Te 3.60



[3]
Density functional theory data (GGA-PBEsol) for an optimized crystal structure of AlCuNi.

Results
- DFT formation energy (eV per atom) = -0.372
- magnetic moment (μB/f.u.) = 0.0

Cell lengths 5.0674, 3.6377, 7.5898 Å; angles 90.00, 90.00, 90.00 degrees
Closest atoms and distances in Å follow each position.
Space group Pnma (No. 62)
Symmetry-distinct sites (fractional):
Al  0.1463  0.2500  0.1001 x4  5 Ni 2.45-2.56, 5 Cu 2.47-2.60
Cu  0.1352  0.2500  0.4260 x4  5 Al 2.47-2.60, 2 Cu 2.54, 5 Ni 2.56-2.62
Ni  0.1069  0.2500  0.7636 x4  5 Al 2.45-2.56, 2 Ni 2.54, 5 Cu 2.56-2.62



[4]
Density functional theory data (GGA-PBEsol) for an optimized crystal structure of YCd2.

Results
- DFT formation energy (eV per atom) = -0.269
- magnetic moment (μB/f.u.) = 0.0

Cell lengths 4.3947, 6.1223, 10.6813 Å; angles 90.00, 90.00, 90.00 degrees
Closest atoms and distances in Å follow each position.
Space group Immm (No. 71)
Symmetry-distinct sites (fractional):
Y  0.0000  0.0000  0.1757 x4  8 Cd 3.02-3.26
Cd  0.0000  0.2534  0.5000 x4  6 Cd 3.02-3.10, 4 Y 3.26
Cd  0.0000  0.5000  0.1298 x4  5 Cd 2.77-3.03, 4 Y 3.02-3.10